No. 1
SmDy2Sn3PdPt2 PBE relaxed; uncorrected energy = -5.845 eV per atom
1.0
4.0511 0.0000 0.0000
0.0000 6.5556 3.7654
0.0000 -6.5556 3.7654
Dy Pd Pt Sm Sn
2 1 2 1 3
Direct
0.0000 0.5906 0.0005
0.0000 0.0005 0.5906
0.0000 0.9965 0.9965
0.5000 0.6708 0.3318
0.5000 0.3318 0.6708
0.0000 0.4109 0.4109
0.5000 0.9997 0.2555
0.5000 0.7437 0.7437
0.5000 0.2555 0.9997

=====

No. 2
SbMo PBE relaxed; uncorrected energy = -6.365 eV per atom
1.0
-0.7459 -2.6466 3.3364
-2.3961 1.3495 3.3362
-3.9547 -1.6331 0.6218
Mo Sb
1 1
Direct
0.0000 0.0000 0.0000
0.2500 0.2500 0.2500

=====

No. 3
DyZrNp PBE relaxed; energy relative to the elements = 1.08 eV per atom
1.0
-1.2049 -4.2993 -2.4139
-4.4154 -0.3684 -2.4761
-0.0612 -0.1303 -5.0736
Dy Np Zr
1 1 1
Direct
0.2500 0.2500 0.2500
0.7500 0.7500 0.7500
0.0000 0.0000 0.0000

=====

No. 4
KSmTh PBE relaxed; uncorrected energy = -3.057 eV per atom
1.0
0.0000 4.0596 4.0596
4.0596 0.0000 4.0596
4.0596 4.0596 0.0000
K Sm Th
1 1 1
Direct
0.2500 0.2500 0.2500
0.0000 0.0000 0.0000
0.7500 0.7500 0.7500

=====

No. 5
GdHoNO PBE relaxed; uncorrected energy = -7.830 eV per atom
1.0
-1.9836 -3.4357 0.0000
0.0000 0.0000 4.9011
-5.9825 3.4540 0.0000
Gd Ho N O
2 2 2 2
Direct
0.0000 0.4387 0.3345
0.0000 0.9387 0.6655
0.5000 0.9386 0.1674
0.5000 0.4386 0.8326
0.0000 0.9390 0.3306
0.0000 0.4390 0.6694
0.5000 0.4378 0.1637
0.5000 0.9378 0.8363

=====

No. 6
CdFeW4N2 PBE relaxed; uncorrected energy = -9.495 eV per atom
1.0
2.8440 0.0000 0.0000
-1.4220 2.4630 0.0000
0.0000 0.0000 15.0618
Cd Fe N W
1 1 2 4
Direct
0.3333 0.6667 0.5000
0.6667 0.3333 0.0000
0.0000 0.0000 0.2379
0.0000 0.0000 0.7621
0.3333 0.6667 0.1411
0.6667 0.3333 0.3318
0.6667 0.3333 0.6682
0.3333 0.6667 0.8589

=====

No. 7
SmSn2Ir2 PBE relaxed; uncorrected energy = -6.565 eV per atom
1.0
-2.2304 2.2304 5.5117
2.2304 -2.2304 5.5117
2.2304 2.2304 -5.5117
Ir Sm Sn
2 1 2
Direct
0.3863 0.3863 0.0000
0.6137 0.6137 0.0000
0.0000 0.0000 0.0000
0.7500 0.2500 0.5000
0.2500 0.7500 0.5000

=====

No. 8
Cu7Ag3 PBE relaxed; energy relative to the elements = 0.10 eV per atom
1.0
10.9523 -1.3654 0.0000
10.9523 1.3654 0.0000
-0.3413 0.0000 4.6081
Ag Cu
3 7
Direct
0.8927 0.8927 0.2909
0.5000 0.5000 0.5000
0.1073 0.1073 0.7091
0.0000 0.0000 0.0000
0.2946 0.2946 0.0895
0.6036 0.6036 0.2015
0.2034 0.2034 0.3926
0.7966 0.7966 0.6074
0.3964 0.3964 0.7985
0.7054 0.7054 0.9105

=====

No. 9
ZrTlAuSe2S PBE relaxed; uncorrected energy = -4.985 eV per atom
1.0
1.9614 -7.3547 0.0000
1.9614 7.3547 0.0000
0.0000 0.0000 10.1797
Au S Se Tl Zr
2 2 4 2 2
Direct
0.0473 0.9527 0.2500
0.9527 0.0473 0.7500
0.4370 0.5630 0.2500
0.5630 0.4370 0.7500
0.1311 0.8689 0.0288
0.1311 0.8689 0.4712
0.8689 0.1311 0.5288
0.8689 0.1311 0.9712
0.7496 0.2504 0.2500
0.2504 0.7496 0.7500
0.5000 0.5000 0.0000
0.5000 0.5000 0.5000

=====

No. 10
Lu2Bi PBE relaxed; uncorrected energy = -3.125 eV per atom
1.0
4.8685 2.8108 7.9502
-4.8685 2.8108 7.9502
0.0000 -5.6216 7.9502
Bi Lu
2 4
Direct
0.2500 0.2500 0.2500
0.5000 0.5000 0.5000
0.3750 0.3750 0.3750
0.8750 0.3750 0.3750
0.3750 0.8750 0.3750
0.3750 0.3750 0.8750

=====

No. 11
Lu4Co3W2N3 PBE relaxed; uncorrected energy = -7.912 eV per atom
1.0
-3.9137 -1.0299 4.1424
1.9766 -2.0397 5.0468
2.2670 13.1406 -0.0927
Co Lu N W
6 8 6 4
Direct
0.7173 0.8996 0.2409
0.4012 0.5988 0.2500
0.1004 0.2827 0.2591
0.8996 0.7173 0.7409
0.5988 0.4012 0.7500
0.2827 0.1004 0.7591
0.3224 0.1650 0.0907
0.7245 0.4509 0.1026
0.5491 0.2755 0.3974
0.8350 0.6776 0.4093
0.1650 0.3224 0.5907
0.4509 0.7245 0.6026
0.2755 0.5491 0.8974
0.6776 0.8350 0.9093
0.0000 0.0000 0.0000
0.7066 0.8153 0.0800
0.1847 0.2934 0.4200
0.0000 0.0000 0.5000
0.8153 0.7066 0.5800
0.2934 0.1847 0.9200
0.0412 0.8736 0.1380
0.1264 0.9588 0.3620
0.8736 0.0412 0.6380
0.9588 0.1264 0.8620

=====

No. 12
PmYNO PBE relaxed; uncorrected energy = -7.886 eV per atom
1.0
-3.0676 1.1369 3.0146
-1.7325 -4.0915 -0.2196
5.0636 -2.4707 6.0843
N O Pm Y
2 2 2 2
Direct
0.7500 0.7500 0.4294
0.2501 0.2501 0.5706
0.7500 0.2498 0.9997
0.2498 0.7500 0.9997
0.2500 0.2500 0.1013
0.7501 0.7501 0.8983
0.7500 0.2500 0.5005
0.2500 0.7500 0.5005

=====

No. 13
LiYInCo PBE relaxed; uncorrected energy = -4.476 eV per atom
1.0
0.0000 3.3472 3.3472
3.3472 0.0000 3.3472
3.3472 3.3472 0.0000
Co In Li Y
1 1 1 1
Direct
0.7500 0.7500 0.7500
0.0000 0.0000 0.0000
0.5000 0.5000 0.5000
0.2500 0.2500 0.2500

=====

No. 14
ZrInHg3S4 PBE relaxed; uncorrected energy = -3.468 eV per atom
1.0
-0.6563 6.2194 -2.6421
-5.4856 -2.0405 -3.4406
-3.9459 1.8022 5.2225
Hg In S Zr
3 1 4 1
Direct
0.5000 0.5000 0.0000
0.5000 0.0000 0.5000
0.0000 0.5000 0.5000
0.0000 0.0000 0.0000
0.2909 0.2909 0.2909
0.7091 0.7091 0.2909
0.7091 0.2909 0.7091
0.2909 0.7091 0.7091
0.5000 0.5000 0.5000

=====

No. 15
Zr3CoN2 PBE relaxed; uncorrected energy = -9.324 eV per atom
1.0
-2.7693 -0.7857 -1.4929
0.1051 0.1716 3.2365
-4.6051 17.7325 -0.7906
Co N Zr
2 4 6
Direct
0.0000 0.0000 0.2500
0.0000 0.0000 0.7500
0.3333 0.6667 0.0727
0.3333 0.6667 0.4273
0.6667 0.3333 0.5727
0.6667 0.3333 0.9273
0.0000 0.0000 0.0000
0.6667 0.3333 0.1471
0.6667 0.3333 0.3529
0.0000 0.0000 0.5000
0.3333 0.6667 0.6471
0.3333 0.6667 0.8529

=====

No. 16
MgFeAsIr PBE relaxed; uncorrected energy = -5.866 eV per atom
1.0
0.0000 3.0144 3.0144
3.0144 0.0000 3.0144
3.0144 3.0144 0.0000
As Fe Ir Mg
1 1 1 1
Direct
0.0000 0.0000 0.0000
0.7500 0.7500 0.7500
0.2500 0.2500 0.2500
0.5000 0.5000 0.5000

=====

No. 17
ZnTcAsO PBE relaxed; uncorrected energy = -5.732 eV per atom
1.0
3.8510 0.0000 0.0000
0.0000 3.8510 0.0000
0.0000 0.0000 9.0995
As O Tc Zn
2 2 2 2
Direct
0.0000 0.5000 0.3158
0.5000 0.0000 0.6842
0.0000 0.0000 0.0000
0.5000 0.5000 0.0000
0.0000 0.0000 0.5000
0.5000 0.5000 0.5000
0.5000 0.0000 0.0523
0.0000 0.5000 0.9477

=====

No. 18
Mg2ScCoCu4 PBE relaxed; uncorrected energy = -3.932 eV per atom
1.0
4.3091 0.0000 0.0000
0.0000 4.3091 0.0000
0.0000 0.0000 6.1234
Co Cu Mg Sc
1 4 2 1
Direct
0.5000 0.5000 0.0000
0.5000 0.0000 0.2275
0.0000 0.5000 0.2275
0.5000 0.0000 0.7725
0.0000 0.5000 0.7725
0.0000 0.0000 0.0000
0.5000 0.5000 0.5000
0.0000 0.0000 0.5000

=====

No. 19
TlAgB2 PBE relaxed; uncorrected energy = -2.810 eV per atom
1.0
0.0000 3.1787 3.1787
3.1787 0.0000 3.1787
3.1787 3.1787 0.0000
Ag B Tl
1 2 1
Direct
0.5000 0.5000 0.5000
0.0000 0.0000 0.0000
0.2500 0.2500 0.2500
0.7500 0.7500 0.7500

=====

No. 20
La2AlCd3Pt2 PBE relaxed; uncorrected energy = -4.296 eV per atom
1.0
5.1161 -2.1848 0.0000
5.1161 2.1848 0.0000
-0.1643 0.0000 8.1839
Al Cd La Pt
1 3 2 2
Direct
0.6573 0.6573 0.5544
0.3508 0.3508 0.0490
0.3713 0.3713 0.4467
0.6430 0.6430 0.9484
0.0662 0.0662 0.2597
0.9335 0.9335 0.7510
0.7672 0.7672 0.2670
0.2107 0.2107 0.7239

=====

No. 21
KRb2ZrF7 PBE relaxed; uncorrected energy = -5.441 eV per atom
1.0
-4.1280 3.9795 0.2678
0.4493 1.0786 -5.6198
-2.2865 -6.1511 1.2531
F K Rb Zr
7 1 2 1
Direct
0.8620 0.8620 0.1532
0.8971 0.3473 0.2168
0.3473 0.8971 0.2168
0.3485 0.3485 0.2491
0.6886 0.0306 0.7825
0.0306 0.6886 0.7825
0.1508 0.1508 0.8101
0.5048 0.5048 0.9911
0.7584 0.2386 0.5073
0.2386 0.7584 0.5073
0.0482 0.0482 0.0334

=====

No. 22
NbZnTe PBE relaxed; uncorrected energy = -4.284 eV per atom
1.0
3.8840 -0.4040 2.4397
0.1380 -2.7849 3.6641
2.4288 -3.9081 -0.1688
Nb Te Zn
1 1 1
Direct
0.2500 0.2500 0.2500
0.0000 0.0000 0.0000
0.7500 0.7500 0.7500

=====

No. 23
HoEr2Se3 PBE relaxed; uncorrected energy = -5.727 eV per atom
1.0
-2.7044 -2.9747 -0.2276
3.4352 -0.5528 2.0269
-4.3385 3.3124 8.2563
Er Ho Se
2 1 3
Direct
0.6667 0.3333 0.3335
0.3333 0.6667 0.6665
0.0000 0.0000 0.0000
0.3333 0.6667 0.1682
0.0000 0.0000 0.5000
0.6667 0.3333 0.8318

=====

No. 24
LaPrCd2Au4 PBE relaxed; energy relative to the elements = -0.66 eV per atom
1.0
5.0814 0.0000 0.0000
0.0000 5.0814 0.0000
0.0000 0.0000 7.1906
Au Cd La Pr
4 2 1 1
Direct
0.5000 0.0000 0.2496
0.0000 0.5000 0.2496
0.5000 0.0000 0.7504
0.0000 0.5000 0.7504
0.5000 0.5000 0.0000
0.0000 0.0000 0.5000
0.5000 0.5000 0.5000
0.0000 0.0000 0.0000

=====

No. 25
TmBPt PBE relaxed; uncorrected energy = -6.095 eV per atom
1.0
1.7998 -3.2916 1.7004
1.0603 0.0585 3.9796
-2.0678 -2.3045 2.7163
B Pt Tm
1 1 1
Direct
0.0000 0.0000 0.0000
0.2500 0.2500 0.2500
0.7500 0.7500 0.7500

=====

Number 1: volume 200.0 Å³/cell. Number 2: volume 57.1 Å³/cell. Number 3: volume 92.5 Å³/cell. Number 4: volume 133.8 Å³/cell. Number 5: volume 134.3 Å³/cell. Number 6: volume 105.5 Å³/cell. Number 7: volume 109.7 Å³/cell. Number 8: volume 137.8 Å³/cell. Number 9: volume 293.7 Å³/cell. Number 10: volume 652.8 Å³/cell. Number 11: volume 373.6 Å³/cell. Number 12: volume 164.1 Å³/cell. Number 13: volume 75.0 Å³/cell. Number 14: volume 312.9 Å³/cell. Number 15: volume 167.0 Å³/cell. Number 16: volume 54.8 Å³/cell. Number 17: volume 134.9 Å³/cell. Number 18: volume 113.7 Å³/cell. Number 19: volume 64.2 Å³/cell. Number 20: volume 183.0 Å³/cell. Number 21: volume 185.9 Å³/cell. Number 22: volume 69.0 Å³/cell. Number 23: volume 139.0 Å³/cell. Number 24: volume 185.7 Å³/cell. Number 25: volume 49.4 Å³/cell.